Material: Sn3Bi
Method: DFT, GGA-PBE
State: relaxed

Unit cell a=4.2892 b=4.2892 c=7.8818 alpha=90.00 beta=90.00 gamma=120.00
Space group P-6m2 (No. 187)
Asymmetric unit:
Sn (0.0000, 0.0000, 0.0000) (multiplicity 1)
Sn (0.6667, 0.3333, 0.2399) (multiplicity 2)
Bi (0.0000, 0.0000, 0.5000) (multiplicity 1)

Results
E_tot: -3.87 eV/atom
Total moment: 0.0 μB per formula unit
Formation energy: 99 meV/atom

---

Material: Sb2POs
Method: DFT, GGA-PBE
State: relaxed

Unit cell a=6.181 b=7.561 c=3.251 alpha=90.00 beta=90.00 gamma=90.00
Space group Cmmm (No. 65)
Asymmetric unit:
Sb (0.250, 0.250, 0.000) (multiplicity 4)
P (0.000, 0.000, 0.500) (multiplicity 2)
Os (0.000, 0.500, 0.500) (multiplicity 2)

Results
Uncorrected formation energy: 0.734 eV per atom
E_tot: -5.49 eV/atom
Total moment: 0.0 μB per formula unit

---

Material: MnCu3H
Method: DFT, GGA-PBE
State: relaxed

Unit cell a=4.634 b=4.634 c=4.634 alpha=90.00 beta=90.00 gamma=90.00
Space group Pm-3m (No. 221)
Asymmetric unit:
Mn (0.000, 0.000, 0.000) (multiplicity 1)
Cu (0.000, 0.000, 0.500) (multiplicity 3)
H (0.500, 0.500, 0.500) (multiplicity 1)

Results
Offset from the most stable computed form: 1344 meV per atom
E_tot: -3.39 eV/atom
Total moment: 5.1 μB per formula unit

---

Material: HoAlO3
Method: DFT, GGA-PBE
State: relaxed

Unit cell a=3.444 b=5.791 c=5.621 alpha=90.00 beta=90.00 gamma=90.00
Space group Pmc2_1 (No. 26)
Asymmetric unit:
Ho (0.000, 0.154, 0.000) (multiplicity 2)
Al (0.500, 0.318, 0.453) (multiplicity 2)
O (0.000, 0.235, 0.397) (multiplicity 2)
O (0.500, 0.091, 0.705) (multiplicity 2)
O (0.500, 0.408, 0.102) (multiplicity 2)

Results
Uncorrected formation energy: -3.274 eV per atom
E_tot: -7.91 eV/atom
Total moment: 0.0 μB per formula unit

---

Material: Ta2Nb2Se7
Method: DFT, GGA-PBE
State: relaxed

Unit cell a=7.685 b=11.218 c=6.849 alpha=90.00 beta=90.91 gamma=90.00
Space group C2/m (No. 12)
Asymmetric unit:
Ta (0.210, 0.000, 0.351) (multiplicity 4)
Nb (0.000, 0.133, 0.000) (multiplicity 4)
Se (0.000, 0.500, 0.500) (multiplicity 2)
Se (0.128, 0.000, 0.730) (multiplicity 4)
Se (0.225, 0.307, 0.800) (multiplicity 8)

Results
Uncorrected formation energy: -0.495 eV per atom
E_tot: -6.70 eV/atom
Total moment: 0.0 μB per formula unit

---

Material: Ta3Cu
Method: DFT, GGA-PBE
State: relaxed

Unit cell a=9.579 b=2.971 c=4.954 alpha=90.00 beta=104.34 gamma=90.00
Space group C2/m (No. 12)
Asymmetric unit:
Ta (0.000, 0.000, 0.000) (multiplicity 2)
Ta (0.236, 0.000, 0.733) (multiplicity 4)
Cu (0.000, 0.500, 0.500) (multiplicity 2)

Results
E_tot: -9.74 eV/atom
Total moment: 0.0 μB per formula unit
Formation energy: 177 meV/atom

---

Material: SbSe2BrN
Method: DFT, GGA-PBE
State: relaxed

Unit cell a=4.690 b=4.690 c=4.457 alpha=90.00 beta=90.00 gamma=90.00
Space group P4/mmm (No. 123)
Asymmetric unit:
Sb (0.000, 0.000, 0.000) (multiplicity 1)
Se (0.000, 0.500, 0.500) (multiplicity 2)
Br (0.500, 0.500, 0.000) (multiplicity 1)
N (0.500, 0.500, 0.500) (multiplicity 1)

Results
Offset from the most stable computed form: 0 meV per atom
Uncorrected formation energy: 0.820 eV per atom
E_tot: -3.40 eV/atom
Total moment: 0.0 μB per formula unit

---

Material: LaZn2CoNi
Method: DFT, GGA-PBE
State: relaxed

Unit cell a=4.600 b=4.600 c=4.916 alpha=90.00 beta=90.00 gamma=90.00
Space group P4/mmm (No. 123)
Asymmetric unit:
La (0.000, 0.000, 0.000) (multiplicity 1)
Zn (0.000, 0.500, 0.500) (multiplicity 2)
Co (0.000, 0.000, 0.500) (multiplicity 1)
Ni (0.500, 0.500, 0.000) (multiplicity 1)

Results
E_tot: -3.81 eV/atom
Total moment: 0.0 μB per formula unit
Formation energy: 267 meV/atom

---

Material: PuTh3N
Method: DFT, GGA-PBE
State: relaxed

Unit cell a=5.030 b=5.030 c=5.030 alpha=90.00 beta=90.00 gamma=90.00
Space group Pm-3m (No. 221)
Asymmetric unit:
Pu (0.000, 0.000, 0.000) (multiplicity 1)
Th (0.000, 0.500, 0.500) (multiplicity 3)
N (0.500, 0.500, 0.500) (multiplicity 1)

Results
Uncorrected formation energy: -0.546 eV per atom
E_tot: -9.53 eV/atom
Total moment: 6.1 μB per formula unit

---

Material: K2TaSi
Method: DFT, GGA-PBE
State: relaxed

Unit cell a=3.561 b=3.655 c=20.909 alpha=90.00 beta=90.00 gamma=90.00
Space group Immm (No. 71)
Asymmetric unit:
K (0.000, 0.000, 0.151) (multiplicity 4)
Ta (0.000, 0.500, 0.000) (multiplicity 2)
Si (0.000, 0.500, 0.500) (multiplicity 2)

Results
Uncorrected formation energy: 0.360 eV per atom
E_tot: -4.51 eV/atom
Total moment: 0.8 μB per formula unit

---

Material: Ce2Y3S8
Method: DFT, GGA-PBE
State: relaxed

Unit cell a=14.104 b=7.919 c=6.677 alpha=90.00 beta=109.83 gamma=90.00
Space group C2/m (No. 12)
Asymmetric unit:
Ce (0.236, 0.000, 0.166) (multiplicity 4)
Y (0.000, 0.239, 0.500) (multiplicity 4)
Y (0.000, 0.500, 0.000) (multiplicity 2)
S (0.110, 0.000, 0.395) (multiplicity 4)
S (0.115, 0.500, 0.425) (multiplicity 4)
S (0.125, 0.271, 0.913) (multiplicity 8)

Results
Offset from the most stable computed form: 0 meV per atom
Uncorrected formation energy: -1.953 eV per atom
E_tot: -6.90 eV/atom
Total moment: 1.0 μB per formula unit

---

Material: Rb2CuI2F2
Method: DFT, GGA-PBE
State: relaxed

Unit cell a=4.816 b=4.816 c=16.874 alpha=90.00 beta=90.00 gamma=90.00
Space group I4/mmm (No. 139)
Asymmetric unit:
Rb (0.000, 0.000, 0.102) (multiplicity 4)
Cu (0.000, 0.000, 0.500) (multiplicity 2)
I (0.000, 0.000, 0.345) (multiplicity 4)
F (0.000, 0.500, 0.000) (multiplicity 4)

Results
Uncorrected formation energy: -1.453 eV per atom
E_tot: -3.29 eV/atom
Total moment: 0.6 μB per formula unit

---

Material: TaAg2Se
Method: DFT, GGA-PBE
State: relaxed

Unit cell a=4.279 b=4.279 c=7.890 alpha=90.00 beta=90.00 gamma=90.00
Space group I-4m2 (No. 119)
Asymmetric unit:
Ta (0.000, 0.000, 0.000) (multiplicity 2)
Ag (0.000, 0.000, 0.500) (multiplicity 2)
Ag (0.000, 0.500, 0.750) (multiplicity 2)
Se (0.000, 0.500, 0.250) (multiplicity 2)

Results
Uncorrected formation energy: 0.408 eV per atom
E_tot: -4.85 eV/atom
Total moment: 0.0 μB per formula unit

---

Material: Ca2HgOs
Method: DFT, GGA-PBE
State: relaxed

Unit cell a=3.485 b=5.042 c=10.924 alpha=90.00 beta=90.00 gamma=90.00
Space group Imm2 (No. 44)
Asymmetric unit:
Ca (0.000, 0.000, 0.000) (multiplicity 2)
Ca (0.000, 0.500, 0.197) (multiplicity 2)
Hg (0.000, 0.500, 0.776) (multiplicity 2)
Os (0.000, 0.000, 0.473) (multiplicity 2)

Results
E_tot: -3.67 eV/atom
Total moment: 0.0 μB per formula unit
Formation energy: 215 meV/atom

---

Material: SrPmNi2Sb2
Method: DFT, GGA-PBE
State: relaxed

Unit cell a=4.3626 b=4.3626 c=8.7890 alpha=90.00 beta=90.00 gamma=120.00
Space group P-3m1 (No. 164)
Asymmetric unit:
Sr (0.0000, 0.0000, 0.0000) (multiplicity 1)
Pm (0.0000, 0.0000, 0.5000) (multiplicity 1)
Ni (0.3333, 0.6667, 0.7200) (multiplicity 2)
Sb (0.3333, 0.6667, 0.2610) (multiplicity 2)

Results
Uncorrected formation energy: -0.751 eV per atom
E_tot: -5.12 eV/atom
Total moment: 0.0 μB per formula unit

---

Material: Sr12Pd6Pb
Method: DFT, GGA-PBE
State: relaxed

Unit cell a=10.995 b=10.995 c=10.995 alpha=90.00 beta=90.00 gamma=90.00
Space group Im-3 (No. 204)
Asymmetric unit:
Sr (0.000, 0.308, 0.180) (multiplicity 24)
Pd (0.000, 0.124, 0.500) (multiplicity 12)
Pb (0.000, 0.000, 0.000) (multiplicity 2)

Results
E_tot: -3.36 eV/atom
Total moment: 0.0 μB per formula unit
Formation energy: -464 meV/atom

---

Material: Mg14ZrFe
Method: DFT, GGA-PBE
State: relaxed

Unit cell a=10.121 b=6.169 c=11.096 alpha=90.00 beta=90.00 gamma=90.00
Space group Amm2 (No. 38)
Asymmetric unit:
Mg (0.000, 0.000, 0.000) (multiplicity 2)
Mg (0.000, 0.000, 0.498) (multiplicity 2)
Mg (0.000, 0.247, 0.250) (multiplicity 4)
Mg (0.247, 0.000, 0.662) (multiplicity 4)
Mg (0.260, 0.248, 0.916) (multiplicity 8)
Mg (0.273, 0.000, 0.154) (multiplicity 4)
Mg (0.500, 0.242, 0.758) (multiplicity 4)
Zr (0.500, 0.000, 0.508) (multiplicity 2)
Fe (0.500, 0.000, 0.997) (multiplicity 2)

Results
Offset from the most stable computed form: 0 meV per atom
E_tot: -2.38 eV/atom
Total moment: 1.9 μB per formula unit
Formation energy: 76 meV/atom

---

Material: Ho3Sc4Ge4
Method: DFT, GGA-PBE
State: relaxed

Unit cell a=3.944 b=8.437 c=15.115 alpha=90.00 beta=90.00 gamma=90.00
Space group Immm (No. 71)
Asymmetric unit:
Ho (0.000, 0.000, 0.000) (multiplicity 2)
Ho (0.000, 0.500, 0.110) (multiplicity 4)
Sc (0.000, 0.307, 0.327) (multiplicity 8)
Ge (0.000, 0.000, 0.242) (multiplicity 4)
Ge (0.000, 0.217, 0.500) (multiplicity 4)

Results
E_tot: -5.92 eV/atom
Total moment: 2.6 μB per formula unit
Formation energy: -686 meV/atom

---

Material: NaHoAgPd
Method: DFT, GGA-PBE
State: relaxed

Unit cell a=6.984 b=6.984 c=6.984 alpha=90.00 beta=90.00 gamma=90.00
Space group F-43m (No. 216)
Asymmetric unit:
Na (0.000, 0.000, 0.000) (multiplicity 4)
Ho (0.000, 0.000, 0.500) (multiplicity 4)
Ag (0.250, 0.250, 0.250) (multiplicity 4)
Pd (0.250, 0.250, 0.750) (multiplicity 4)

Results
E_tot: -3.79 eV/atom
Total moment: 0.0 μB per formula unit
Formation energy: -306 meV/atom

---

Material: PrHo8Tm4
Method: DFT, GGA-PBE
State: relaxed

Unit cell a=7.2361 b=7.2361 c=26.9724 alpha=90.00 beta=90.00 gamma=120.00
Space group R-3m (No. 166, hexagonal axes)
Asymmetric unit:
Pr (0.0000, 0.0000, 0.0000) (multiplicity 3)
Ho (0.0000, 0.0000, 0.2817) (multiplicity 6)
Ho (0.0368, 0.5184, 0.2674) (multiplicity 18)
Tm (0.0000, 0.0000, 0.5000) (multiplicity 3)
Tm (0.0000, 0.5000, 0.5000) (multiplicity 9)

Results
E_tot: -4.36 eV/atom
Total moment: 0.0 μB per formula unit
Formation energy: 205 meV/atom

---

Material: YMgSc2S4
Method: DFT, GGA-PBE
State: relaxed

Unit cell a=6.523 b=3.732 c=6.537 alpha=90.00 beta=109.10 gamma=90.00
Space group P2/m (No. 10)
Asymmetric unit:
Y (0.000, 0.000, 0.000) (multiplicity 1)
Mg (0.500, 0.500, 0.000) (multiplicity 1)
Sc (0.000, 0.500, 0.500) (multiplicity 1)
Sc (0.500, 0.000, 0.500) (multiplicity 1)
S (0.261, 0.000, 0.750) (multiplicity 2)
S (0.265, 0.500, 0.258) (multiplicity 2)

Results
Uncorrected formation energy: -1.726 eV per atom
E_tot: -6.38 eV/atom
Total moment: 0.0 μB per formula unit

---

Material: TeMo2Ru
Method: DFT, GGA-PBE
State: relaxed

Unit cell a=3.207 b=4.551 c=9.046 alpha=90.00 beta=90.00 gamma=90.00
Space group Imm2 (No. 44)
Asymmetric unit:
Te (0.000, 0.000, 0.000) (multiplicity 2)
Mo (0.000, 0.000, 0.505) (multiplicity 2)
Mo (0.000, 0.500, 0.742) (multiplicity 2)
Ru (0.000, 0.500, 0.268) (multiplicity 2)

Results
Uncorrected formation energy: 0.351 eV per atom
E_tot: -8.17 eV/atom
Total moment: 0.0 μB per formula unit

---

Material: MoIr2Br
Method: DFT, GGA-PBE
State: relaxed

Unit cell a=4.827 b=4.827 c=2.811 alpha=90.00 beta=90.00 gamma=90.00
Space group P4/mmm (No. 123)
Asymmetric unit:
Mo (0.000, 0.000, 0.000) (multiplicity 1)
Ir (0.000, 0.500, 0.500) (multiplicity 2)
Br (0.500, 0.500, 0.000) (multiplicity 1)

Results
Offset from the most stable computed form: 622 meV per atom
Uncorrected formation energy: 0.980 eV per atom
E_tot: -6.58 eV/atom
Total moment: 0.0 μB per formula unit